# 1
MnTc2Ag: optimized geometry, PBE-GGA.

Values from the calculation:
Energy relative to the lowest polymorph listed for this composition   233 meV/atom
ρ   9800 kg/m3
E_tot   -30.84 eV/f.u.
Energy of formation   0.478 eV/atom

Unit cell a=4.4136 b=4.4136 c=4.4136 alpha=60.00 beta=60.00 gamma=60.00
Positions (direct):
Mn 0.0000 0.0000 0.0000
Tc 0.2500 0.2500 0.2500
Tc 0.5000 0.5000 0.5000
Ag 0.7500 0.7500 0.7500

=====

# 2
ReNiAu2: optimized geometry, PBE-GGA.

Values from the calculation:
Energy relative to the lowest polymorph listed for this composition   294 meV/atom
ρ   17177 kg/m3
E_tot   -22.93 eV/f.u.
Energy of formation   0.464 eV/atom

Unit cell a=2.7300 b=4.0236 c=5.6221 alpha=90.00 beta=90.00 gamma=90.00
Positions (direct):
Re 0.0000 0.0000 0.0000
Ni 0.0000 0.0000 0.5000
Au 0.5000 0.5000 0.2532
Au 0.5000 0.5000 0.7468

=====

# 3
ThMn2Ga: optimized geometry, PBE-GGA.

Values from the calculation:
ρ   10209 kg/m3
E_tot   -28.62 eV/f.u.
Energy of formation   0.042 eV/atom

Unit cell a=4.5579 b=4.5579 c=4.5579 alpha=60.00 beta=60.00 gamma=60.00
Positions (direct):
Th 0.0000 0.0000 0.0000
Mn 0.2500 0.2500 0.2500
Mn 0.7500 0.7500 0.7500
Ga 0.5000 0.5000 0.5000

=====

# 4
Li12Hg6Rh: optimized geometry, PBE-GGA.

Values from the calculation:
ρ   6617 kg/m3
E_tot   -37.19 eV/f.u.
Energy of formation   -0.267 eV/atom

Unit cell a=7.0396 b=7.0396 c=7.0396 alpha=90.85 beta=90.85 gamma=90.85
Positions (direct):
Li 0.0316 0.9359 0.3045
Li 0.0641 0.6955 0.9684
Li 0.1403 0.4712 0.3608
Li 0.3045 0.0316 0.9359
Li 0.3608 0.1403 0.4712
Li 0.4712 0.3608 0.1403
Li 0.5288 0.6392 0.8597
Li 0.6392 0.8597 0.5288
Li 0.6955 0.9684 0.0641
Li 0.8597 0.5288 0.6392
Li 0.9359 0.3045 0.0316
Li 0.9684 0.0641 0.6955
Hg 0.2129 0.3796 0.7670
Hg 0.2330 0.7871 0.6204
Hg 0.3796 0.7670 0.2129
Hg 0.6204 0.2330 0.7871
Hg 0.7670 0.2129 0.3796
Hg 0.7871 0.6204 0.2330
Rh 0.5000 0.5000 0.5000

=====

# 5
Tm2HgPd: optimized geometry, PBE-GGA.

Values from the calculation:
Energy relative to the lowest polymorph listed for this composition   0 meV/atom
ρ   11769 kg/m3
E_tot   -17.29 eV/f.u.
Energy of formation   -0.713 eV/atom

Unit cell a=3.5281 b=3.5281 c=7.3096 alpha=90.00 beta=90.00 gamma=90.00
Positions (direct):
Tm 0.0000 0.0000 0.2284
Tm 0.0000 0.0000 0.7716
Hg 0.5000 0.5000 0.5000
Pd 0.5000 0.5000 0.0000

=====

# 6
BaP4Rh: optimized geometry, PBE-GGA.

Values from the calculation:
ρ   4930 kg/m3
E_tot   -29.79 eV/f.u.
Energy of formation   0.188 eV/atom

Unit cell a=5.5770 b=5.5770 c=5.5770 alpha=60.00 beta=60.00 gamma=60.00
Positions (direct):
Ba 0.0000 0.0000 0.0000
P 0.1922 0.6026 0.6026
P 0.6026 0.1922 0.6026
P 0.6026 0.6026 0.1922
P 0.6026 0.6026 0.6026
Rh 0.2500 0.2500 0.2500

=====

# 7
NaCrH: optimized geometry, PBE-GGA.

Values from the calculation:
Energy relative to the lowest polymorph listed for this composition   0 meV/atom
ρ   3433 kg/m3
E_tot   -13.60 eV/f.u.

Unit cell a=2.8392 b=2.8561 c=10.5188 alpha=86.48 beta=83.20 gamma=60.23
Positions (direct):
Na 0.0000 0.0000 0.0000
Na 0.4718 0.6791 0.2989
Cr 0.4534 0.3306 0.7363
Cr 0.6947 0.9976 0.5613
H 0.0824 0.2954 0.4788
H 0.7460 0.6739 0.8192

=====

# 8
HfCuTc2: optimized geometry, PBE-GGA.

Values from the calculation:
Energy relative to the lowest polymorph listed for this composition   222 meV/atom
ρ   10807 kg/m3
E_tot   -33.24 eV/f.u.
Energy of formation   0.387 eV/atom

Unit cell a=9.8290 b=9.8290 c=9.8290 alpha=157.87 beta=157.87 gamma=31.49
Positions (direct):
Hf 0.0000 0.0000 0.0000
Hf 0.7500 0.2500 0.5000
Cu 0.2500 0.7500 0.5000
Cu 0.5000 0.5000 0.0000
Tc 0.1665 0.6250 0.0415
Tc 0.3750 0.4165 0.5415
Tc 0.5835 0.1250 0.9585
Tc 0.8750 0.8335 0.4585